## LiScS2 (PBE-GGA)

Data for a geometry-optimized LiScS2 structure. Values from VASP.

```
&SYSTEM
  ibrav = 0, nat = 4, ntyp = 3
/
ATOMIC_SPECIES
Sc 44.96 Sc.upf
S 32.06 S.upf
Li 6.94 Li.upf
CELL_PARAMETERS angstrom
0.0000 3.2086 3.2086
3.2086 0.0000 3.2086
3.2086 3.2086 0.0000
ATOMIC_POSITIONS angstrom
Sc 3.2086 3.2086 3.2086
S 1.6043 1.6043 1.6043
S 4.8129 4.8129 4.8129
Li 0.0000 0.0000 0.0000
```

Values from the calculation:
Fermi-level density of states in states/eV per cell: 0.00
Uncorrected formation energy in eV/atom: -1.339
Symmetry: Fm-3m (225)
Uncorrected energy in eV per atom: -5.46